Sc7Sb: relaxed, PBE-GGA.

Cell lengths 6.445, 6.445, 6.445 Å; angles 60.00, 60.00, 60.00 degrees
Atoms (fractional coordinates):
Sc  0.500  0.000  0.500
Sc  0.000  0.500  0.000
Sc  0.500  0.000  0.000
Sc  0.500  0.500  0.000
Sc  0.000  0.500  0.500
Sc  0.000  0.000  0.500
Sb  0.000  0.000  0.000
Sc  0.500  0.500  0.500

Summary:
Fermi-level density of states ... 1.32 states/eV per atom
E_form (uncorrected) ... -0.20 eV/atom
Total moment ... 0.25 μB per atom
DFT total energy ... -6.26 eV per atom



Cr2InBr: relaxed, PBE-GGA.

Cell lengths 3.238, 5.055, 5.055 Å; angles 90.00, 90.00, 90.00 degrees
Atoms (fractional coordinates):
In  0.500  0.500  0.000
Cr  0.000  0.000  0.000
Br  0.500  0.000  0.500
Cr  0.000  0.500  0.500

Summary:
Fermi-level density of states ... 0.73 states/eV per atom
Relative energy among the computed polymorphs ... 370 meV per atom
E_form (uncorrected) ... 0.59 eV/atom
Total moment ... 2.08 μB per atom
DFT total energy ... -5.33 eV per atom



Q: Look up the total moment of the second one.
A: 2.08 μB per atom